1.
The following is a PBE calculation of a relaxed structure of Ac2In6Pd, from Alexandria.

Results
Energy of formation ... -0.475 eV/atom

abc: 6.7517 6.7517 6.2095
angles: 90.00 90.00 120.00
Space group P-3m1 (No. 164)
Inequivalent atoms, fractional coordinates:
Ac: 0.3333 0.6667 0.3259
In: 0.1726 0.3452 0.8088
Pd: 0.0000 0.0000 0.5000


2.
The following is a PBE calculation of a relaxed structure of Ac2InPd3, from Alexandria.

Results
Relative energy among the computed polymorphs ... 0.000 eV/atom
Energy of formation ... -0.749 eV/atom

abc: 4.2088 4.3016 17.6484
angles: 90.00 90.00 90.00
Space group Imm2 (No. 44)
Inequivalent atoms, fractional coordinates:
Ac: 0.0000 0.0000 0.0000
Ac: 0.0000 0.5000 0.2185
In: 0.0000 0.0000 0.3902
Pd: 0.0000 0.0000 0.5465
Pd: 0.0000 0.5000 0.6432
Pd: 0.0000 0.5000 0.7966


3.
The following is a PBE calculation of a relaxed structure of Ac2In3Pd2, from Alexandria.

Results
Relative energy among the computed polymorphs ... 0.046 eV/atom
Energy of formation ... -0.554 eV/atom

abc: 4.7111 20.6995 7.7461
angles: 90.00 90.00 90.00
Space group Cmcm (No. 63)
Inequivalent atoms, fractional coordinates:
Ac: 0.0000 0.0566 0.2500
Ac: 0.0000 0.1669 0.7500
In: 0.0000 0.2177 0.2500
In: 0.0000 0.4355 0.0662
Pd: 0.0000 0.3047 0.5476


4.
The following is a PBE calculation of a relaxed structure of Ac12InPd6, from Alexandria.

Results
Energy of formation ... -0.556 eV/atom

abc: 10.9518 10.9518 10.9518
angles: 90.00 90.00 90.00
Space group Im-3 (No. 204)
Inequivalent atoms, fractional coordinates:
Ac: 0.0000 0.1814 0.3058
In: 0.0000 0.0000 0.0000
Pd: 0.0000 0.3703 0.5000


5.
The following is a PBE calculation of a relaxed structure of Ac6In2Pd, from Alexandria.

Results
Relative energy among the computed polymorphs ... 0.000 eV/atom
Energy of formation ... -0.370 eV/atom

abc: 9.5274 9.5274 4.1688
angles: 90.00 90.00 120.00
Space group P-62m (No. 189)
Inequivalent atoms, fractional coordinates:
Ac: 0.0000 0.2437 0.0000
Ac: 0.0000 0.5938 0.5000
In: 0.3333 0.6667 0.0000
Pd: 0.0000 0.0000 0.5000


6.
The following is a PBE calculation of a relaxed structure of Ac2InPd4, from Alexandria.

Results
Relative energy among the computed polymorphs ... 0.000 eV/atom
Energy of formation ... -0.724 eV/atom

abc: 10.9678 4.6234 6.9118
angles: 90.00 110.09 90.00
Space group C2/m (No. 12)
Inequivalent atoms, fractional coordinates:
Ac: 0.1496 0.0000 0.2384
In: 0.0000 0.5000 0.5000
Pd: 0.1055 0.5000 0.9249
Pd: 0.1393 0.0000 0.7000


7.
The following is a PBE calculation of a relaxed structure of Ac2In3Pd5, from Alexandria.

Results
Relative energy among the computed polymorphs ... 0.000 eV/atom
Energy of formation ... -0.673 eV/atom

abc: 11.2225 13.2471 6.2276
angles: 90.00 90.00 90.00
Space group Ibam (No. 72)
Inequivalent atoms, fractional coordinates:
Ac: 0.2362 0.1278 0.0000
In: 0.0000 0.5000 0.2500
In: 0.0917 0.1458 0.5000
Pd: 0.0000 0.0000 0.2500
Pd: 0.0000 0.2934 0.2500
Pd: 0.1734 0.3941 0.0000


8.
The following is a PBE calculation of a relaxed structure of Ac2InPd6, from Alexandria.

Results
Relative energy among the computed polymorphs ... 0.000 eV/atom
Energy of formation ... -0.730 eV/atom

abc: 10.3259 5.9603 6.2653
angles: 90.00 90.02 90.00
Space group C2/m (No. 12)
Inequivalent atoms, fractional coordinates:
Ac: 0.1672 0.0000 0.2934
In: 0.0000 0.5000 0.5000
Pd: 0.0865 0.2392 0.8229
Pd: 0.1745 0.5000 0.1782


9.
The following is a PBE calculation of a relaxed structure of Ac2In12Pd, from Alexandria.

Results
Energy of formation ... -0.285 eV/atom

abc: 6.8657 6.8657 17.5381
angles: 90.00 90.00 90.00
Space group P4/nbm (No. 125, origin choice 2)
Inequivalent atoms, fractional coordinates:
Ac: 0.2500 0.7500 0.2418
In: 0.0003 0.9997 0.0846
In: 0.0849 0.5849 0.4304
In: 0.2500 0.2500 0.1847
In: 0.2500 0.2500 0.3438
Pd: 0.2500 0.7500 0.0000


10.
The following is a PBE calculation of a relaxed structure of Ac11In9Pd4, from Alexandria.

Results
Energy of formation ... -0.591 eV/atom

abc: 15.6289 23.5776 4.0868
angles: 90.00 90.00 90.00
Space group Cmmm (No. 65)
Inequivalent atoms, fractional coordinates:
Ac: 0.0000 0.0000 0.0000
Ac: 0.0000 0.1627 0.0000
Ac: 0.0000 0.3733 0.0000
Ac: 0.1906 0.5000 0.0000
Ac: 0.2442 0.1718 0.0000
In: 0.0000 0.5000 0.5000
In: 0.1010 0.2646 0.5000
In: 0.1488 0.0698 0.5000
Pd: 0.1540 0.3997 0.5000


11.
The following is a PBE calculation of a relaxed structure of Ac3InPd, from Alexandria.

Results
Relative energy among the computed polymorphs ... 0.000 eV/atom
Energy of formation ... -0.491 eV/atom

abc: 8.4370 5.0684 16.4129
angles: 90.00 90.00 90.00
Space group Pnma (No. 62)
Inequivalent atoms, fractional coordinates:
Ac: 0.0474 0.2500 0.1396
Ac: 0.1948 0.2500 0.5129
Ac: 0.2178 0.7500 0.2942
In: 0.0566 0.7500 0.6593
Pd: 0.0767 0.2500 0.9509


12.
The following is a PBE calculation of a relaxed structure of Ac5InPd2, from Alexandria.

Results
Energy of formation ... -0.515 eV/atom

abc: 8.5507 8.5507 14.7465
angles: 90.00 90.00 90.00
Space group I4/mcm (No. 140)
Inequivalent atoms, fractional coordinates:
Ac: 0.0000 0.0000 0.0000
Ac: 0.1598 0.3402 0.1398
In: 0.0000 0.0000 0.2500
Pd: 0.1327 0.3673 0.5000


13.
The following is a PBE calculation of a relaxed structure of Ac2In2Pd5, from Alexandria.

Results
Energy of formation ... -0.650 eV/atom

abc: 4.7063 4.7063 9.2450
angles: 90.00 90.00 90.00
Space group P4/mmm (No. 123)
Inequivalent atoms, fractional coordinates:
Ac: 0.0000 0.0000 0.0000
Ac: 0.0000 0.0000 0.5000
In: 0.5000 0.5000 0.1567
Pd: 0.0000 0.5000 0.2902
Pd: 0.5000 0.5000 0.5000


14.
The following is a PBE calculation of a relaxed structure of Ac4InPd2, from Alexandria.

Results
Relative energy among the computed polymorphs ... 0.028 eV/atom
Energy of formation ... -0.526 eV/atom

abc: 7.9412 11.3239 5.0755
angles: 90.00 90.00 90.00
Space group Pbam (No. 55)
Inequivalent atoms, fractional coordinates:
Ac: 0.1230 0.1871 0.0000
Ac: 0.2360 0.9280 0.5000
In: 0.0000 0.5000 0.0000
Pd: 0.0995 0.6751 0.5000


15.
The following is a PBE calculation of a relaxed structure of Ac2In2Pd3, from Alexandria.

Results
Relative energy among the computed polymorphs ... 0.000 eV/atom
Energy of formation ... -0.746 eV/atom

abc: 4.3131 20.4021 8.0206
angles: 90.00 90.00 90.00
Space group Cmcm (No. 63)
Inequivalent atoms, fractional coordinates:
Ac: 0.0000 0.0592 0.2500
Ac: 0.0000 0.1415 0.7500
In: 0.0000 0.3070 0.5585
Pd: 0.0000 0.2342 0.2500
Pd: 0.0000 0.4371 0.0513


16.
The following is a PBE calculation of a relaxed structure of Ac3In4Pd8, from Alexandria.

Results
Energy of formation ... -0.626 eV/atom

abc: 13.8159 13.8159 13.8159
angles: 90.00 90.00 90.00
Space group Fm-3m (No. 225)
Inequivalent atoms, fractional coordinates:
Ac: 0.0000 0.0000 0.2345
In: 0.0000 0.0000 0.0000
In: 0.0000 0.0000 0.5000
In: 0.0000 0.2500 0.2500
Pd: 0.1261 0.1261 0.3739
Pd: 0.1709 0.1709 0.1709


17.
The following is a PBE calculation of a relaxed structure of Ac5In2Pd2, from Alexandria.

Results
Energy of formation ... -0.481 eV/atom

abc: 16.9351 7.8892 9.2061
angles: 90.00 90.00 90.00
Space group Cmce (No. 64)
Inequivalent atoms, fractional coordinates:
Ac: 0.0000 0.0000 0.0000
Ac: 0.1253 0.1599 0.3223
In: 0.2122 0.0000 0.0000
Pd: 0.0000 0.1307 0.6157


18.
The following is a PBE calculation of a relaxed structure of Ac6In5Pd, from Alexandria.

Results
Energy of formation ... -0.440 eV/atom

abc: 17.8492 8.3412 5.6710
angles: 90.00 108.34 90.00
Space group C2/m (No. 12)
Inequivalent atoms, fractional coordinates:
Ac: 0.0000 0.2319 0.0000
Ac: 0.1588 0.2382 0.6581
In: 0.0000 0.5000 0.5000
In: 0.1635 0.5000 0.1626
In: 0.1796 0.0000 0.1784
Pd: 0.0000 0.0000 0.5000